[1]
Compound: Sr2PtAuC
Source: Alexandria
Functional: PBE
Structure: optimized geometry

Values from the calculation:
final energy	-4.8584	eV/atom
total moment	0.00	μB/f.u.
volume	119.51	Å³/f.u.

Cell: 5.548 5.548 3.882 Å, 90.00 90.00 90.00°
Fractional positions:
Sr  0.000  0.500  0.000
Sr  0.500  0.000  0.000
Pt  0.000  0.000  0.500
Au  0.500  0.500  0.500
C  0.000  0.000  0.000


[2]
Compound: TlFe2MoCl
Source: Alexandria
Functional: PBE
Structure: optimized geometry

Values from the calculation:
final energy	-4.9648	eV/atom
total moment	1.95	μB/f.u.
energy relative to the elements, uncorrected	1429	meV per atom
volume	90.58	Å³/f.u.

Cell: 4.067 4.067 5.476 Å, 90.00 90.00 90.00°
Fractional positions:
Tl  0.000  0.000  0.000
Fe  0.000  0.500  0.500
Fe  0.500  0.000  0.500
Mo  0.500  0.500  0.000
Cl  0.000  0.000  0.500


[3]
Compound: KTa2Ru
Source: Alexandria
Functional: PBE
Structure: optimized geometry

Values from the calculation:
final energy	-7.8997	eV/atom
total moment	0.00	μB/f.u.
volume	98.05	Å³/f.u.

Cell: 2.952 3.872 8.578 Å, 90.00 90.00 90.00°
Fractional positions:
K  0.000  0.000  0.000
Ta  0.500  0.500  0.353
Ta  0.500  0.500  0.647
Ru  0.000  0.000  0.500